# GdErNi2Ge

A geometry-optimized GdErNi2Ge structure (PBE, the Open Quantum Materials Database).

Lattice parameters (Å, degrees): 3.6011 3.9582 13.2291 90.00 90.00 90.00
Last column: nearest neighbours and their distance in Å.
Sites, in units of the cell vectors:
Gd 0.0000 0.0000 0.0000  6 Ni 2.82-2.96
Gd 0.0000 0.5000 0.5000  6 Ni 2.82-2.96
Er 0.0000 0.0000 0.2583  6 Ni 2.80-2.92
Er 0.0000 0.5000 0.7583  6 Ni 2.80-2.92
Ni 0.5000 0.0000 0.4325  2 Ni 2.46, 1 Ge 2.62
Ni 0.5000 0.0000 0.8220  2 Ni 2.46, 1 Ge 2.53
Ni 0.5000 0.5000 0.3220  2 Ni 2.46, 1 Ge 2.53
Ni 0.5000 0.5000 0.9325  2 Ni 2.46, 1 Ge 2.62
Ge 0.5000 0.0000 0.6303  2 Ni 2.53-2.62
Ge 0.5000 0.5000 0.1303  2 Ni 2.53-2.62

Computed properties:
**Raw total energy**: -5.593 eV/atom

# Au

A geometry-optimized Au structure (PBE, the Open Quantum Materials Database).

Lattice parameters (Å, degrees): 8.8050 8.8050 8.8050 109.47 109.47 109.47
Last column: nearest neighbours and their distance in Å.
Sites, in units of the cell vectors:
Au 0.0000 0.0000 0.0000  4 Au 2.87
Au 0.0000 0.0000 0.6743  10 Au 2.86-3.01
Au 0.0000 0.1927 0.3860  10 Au 2.77-3.01
Au 0.0000 0.3860 0.1927  10 Au 2.77-3.01
Au 0.0000 0.4215 0.6951  8 Au 2.79-3.02
Au 0.0000 0.6743 0.0000  10 Au 2.86-3.01
Au 0.0000 0.6951 0.4215  8 Au 2.79-3.02
Au 0.1927 0.0000 0.3860  10 Au 2.77-3.01
Au 0.1927 0.3860 0.0000  10 Au 2.77-3.01
Au 0.1933 0.8073 0.8073  10 Au 2.77-3.01
Au 0.2737 0.5785 0.5785  8 Au 2.79-3.02
Au 0.3049 0.3049 0.7263  8 Au 2.79-3.02
Au 0.3049 0.7263 0.3049  8 Au 2.79-3.02
Au 0.3257 0.3257 0.3257  10 Au 2.86-3.01
Au 0.3860 0.0000 0.1927  10 Au 2.77-3.01
Au 0.3860 0.1927 0.0000  10 Au 2.77-3.01
Au 0.4215 0.0000 0.6951  8 Au 2.79-3.02
Au 0.4215 0.6951 0.0000  8 Au 2.79-3.02
Au 0.5785 0.2737 0.5785  8 Au 2.79-3.02
Au 0.5785 0.5785 0.2737  8 Au 2.79-3.02
Au 0.6140 0.6140 0.8067  10 Au 2.77-3.01
Au 0.6140 0.8067 0.6140  10 Au 2.77-3.01
Au 0.6743 0.0000 0.0000  10 Au 2.86-3.01
Au 0.6951 0.0000 0.4215  8 Au 2.79-3.02
Au 0.6951 0.4215 0.0000  8 Au 2.79-3.02
Au 0.7263 0.3049 0.3049  8 Au 2.79-3.02
Au 0.8073 0.1933 0.8073  10 Au 2.77-3.01
Au 0.8067 0.6140 0.6140  10 Au 2.77-3.01
Au 0.8073 0.8073 0.1933  10 Au 2.77-3.01

Computed properties:
**Formation energy from the elements**: 0.073 eV per atom
**Distance to the lowest polymorph of the same formula**: 0.073 eV per atom

# ZrZn

A geometry-optimized ZrZn structure (PBE, the Open Quantum Materials Database).

Lattice parameters (Å, degrees): 7.2890 13.4095 4.6423 90.00 90.00 90.00
Last column: nearest neighbours and their distance in Å.
Sites, in units of the cell vectors:
Zr 0.1052 0.1675 0.2500  7 Zn 2.82-3.02, 3 Zr 3.04-3.10
Zr 0.1052 0.3325 0.7500  7 Zn 2.82-3.02, 3 Zr 3.04-3.10
Zr 0.3587 0.6315 0.2500  7 Zn 2.81-2.95, 2 Zr 3.00
Zr 0.3587 0.8685 0.7500  7 Zn 2.81-2.95, 2 Zr 3.00
Zr 0.3872 0.1652 0.7500  4 Zn 2.91-3.25, 7 Zr 3.00-3.25
Zr 0.3872 0.3348 0.2500  4 Zn 2.91-3.25, 7 Zr 3.00-3.25
Zr 0.6128 0.6652 0.7500  4 Zn 2.91-3.25, 7 Zr 3.00-3.25
Zr 0.6128 0.8348 0.2500  4 Zn 2.91-3.25, 7 Zr 3.00-3.25
Zr 0.6413 0.1315 0.2500  7 Zn 2.81-2.95, 2 Zr 3.00
Zr 0.6413 0.3685 0.7500  7 Zn 2.81-2.95, 2 Zr 3.00
Zr 0.8948 0.6675 0.2500  7 Zn 2.82-3.02, 3 Zr 3.04-3.10
Zr 0.8948 0.8325 0.7500  7 Zn 2.82-3.02, 3 Zr 3.04-3.10
Zn 0.0799 0.0272 0.7500  3 Zn 2.66-2.70, 3 Zr 2.91-2.94
Zn 0.0799 0.4728 0.2500  3 Zn 2.66-2.70, 3 Zr 2.91-2.94
Zn 0.1586 0.6775 0.7500  2 Zn 2.66-2.68, 4 Zr 2.81-2.95
Zn 0.1586 0.8225 0.2500  2 Zn 2.66-2.68, 4 Zr 2.81-2.95
Zn 0.3343 0.5018 0.7500  3 Zn 2.68-3.00, 5 Zr 2.82-2.99
Zn 0.3343 0.9982 0.2500  3 Zn 2.68-3.00, 5 Zr 2.82-2.99
Zn 0.6657 0.0018 0.7500  3 Zn 2.68-3.00, 5 Zr 2.82-2.99
Zn 0.6657 0.4982 0.2500  3 Zn 2.68-3.00, 5 Zr 2.82-2.99
Zn 0.8414 0.1775 0.7500  2 Zn 2.66-2.68, 4 Zr 2.81-2.95
Zn 0.8414 0.3225 0.2500  2 Zn 2.66-2.68, 4 Zr 2.81-2.95
Zn 0.9201 0.5272 0.7500  3 Zn 2.66-2.70, 3 Zr 2.91-2.94
Zn 0.9201 0.9728 0.2500  3 Zn 2.66-2.70, 3 Zr 2.91-2.94

Computed properties:
**Formation energy from the elements**: -0.130 eV per atom

# NdTe2

A geometry-optimized NdTe2 structure (PBE, the Open Quantum Materials Database).

Lattice parameters (Å, degrees): 4.5071 4.5071 9.1526 90.00 90.00 90.00
Last column: nearest neighbours and their distance in Å.
Sites, in units of the cell vectors:
Nd 0.0000 0.0000 0.0000  9 Te 3.29-3.36
Nd 0.5000 0.5000 0.4560  9 Te 3.28-3.35
Te 0.0000 0.0000 0.3593  5 Nd 3.29-3.31
Te 0.0000 0.5000 0.7270  4 Te 3.19, 4 Nd 3.35-3.36
Te 0.5000 0.0000 0.7270  4 Te 3.19, 4 Nd 3.35-3.36
Te 0.5000 0.5000 0.0977  5 Nd 3.28-3.31

Computed properties:
**Raw total energy**: -4.943 eV/atom

# TaInCuIr

A geometry-optimized TaInCuIr structure (PBE, the Open Quantum Materials Database).

Lattice parameters (Å, degrees): 6.3584 6.3584 6.3584 90.00 90.00 90.00
Last column: nearest neighbours and their distance in Å.
Sites, in units of the cell vectors:
Ta 0.0000 0.0000 0.0000  4 Cu 2.75, 4 In 2.75
Ta 0.0000 0.5000 0.5000  4 Cu 2.75, 4 In 2.75
Ta 0.5000 0.0000 0.5000  4 Cu 2.75, 4 In 2.75
Ta 0.5000 0.5000 0.0000  4 Cu 2.75, 4 In 2.75
In 0.2500 0.2500 0.2500  4 Ta 2.75, 4 Ir 2.75
In 0.2500 0.7500 0.7500  4 Ta 2.75, 4 Ir 2.75
In 0.7500 0.2500 0.7500  4 Ta 2.75, 4 Ir 2.75
In 0.7500 0.7500 0.2500  4 Ta 2.75, 4 Ir 2.75
Cu 0.2500 0.2500 0.7500  4 Ta 2.75, 4 Ir 2.75
Cu 0.2500 0.7500 0.2500  4 Ta 2.75, 4 Ir 2.75
Cu 0.7500 0.2500 0.2500  4 Ta 2.75, 4 Ir 2.75
Cu 0.7500 0.7500 0.7500  4 Ta 2.75, 4 Ir 2.75
Ir 0.0000 0.0000 0.5000  4 In 2.75, 4 Cu 2.75
Ir 0.0000 0.5000 0.0000  4 In 2.75, 4 Cu 2.75
Ir 0.5000 0.0000 0.0000  4 In 2.75, 4 Cu 2.75
Ir 0.5000 0.5000 0.5000  4 In 2.75, 4 Cu 2.75

Computed properties:
**Distance to the lowest polymorph of the same formula**: 0.389 eV per atom

# LuNiOs

A geometry-optimized LuNiOs structure (PBE, the Open Quantum Materials Database).

Lattice parameters (Å, degrees): 6.1333 6.1333 6.1333 90.00 90.00 90.00
Last column: nearest neighbours and their distance in Å.
Sites, in units of the cell vectors:
Lu 0.0000 0.0000 0.0000  4 Os 2.66
Lu 0.0000 0.5000 0.5000  4 Os 2.66
Lu 0.5000 0.0000 0.5000  4 Os 2.66
Lu 0.5000 0.5000 0.0000  4 Os 2.66
Ni 0.0000 0.0000 0.5000  4 Os 2.66
Ni 0.0000 0.5000 0.0000  4 Os 2.66
Ni 0.5000 0.0000 0.0000  4 Os 2.66
Ni 0.5000 0.5000 0.5000  4 Os 2.66
Os 0.2500 0.2500 0.2500  4 Ni 2.66, 4 Lu 2.66
Os 0.2500 0.7500 0.7500  4 Ni 2.66, 4 Lu 2.66
Os 0.7500 0.2500 0.7500  4 Ni 2.66, 4 Lu 2.66
Os 0.7500 0.7500 0.2500  4 Ni 2.66, 4 Lu 2.66

Computed properties:
**Formation energy from the elements**: 0.475 eV per atom
**Distance to the lowest polymorph of the same formula**: 0.000 eV per atom

What did the fifth record say?
# TaInCuIr

A geometry-optimized TaInCuIr structure (PBE, the Open Quantum Materials Database).

Lattice parameters (Å, degrees): 6.3584 6.3584 6.3584 90.00 90.00 90.00
Last column: nearest neighbours and their distance in Å.
Sites, in units of the cell vectors:
Ta 0.0000 0.0000 0.0000  4 Cu 2.75, 4 In 2.75
Ta 0.0000 0.5000 0.5000  4 Cu 2.75, 4 In 2.75
Ta 0.5000 0.0000 0.5000  4 Cu 2.75, 4 In 2.75
Ta 0.5000 0.5000 0.0000  4 Cu 2.75, 4 In 2.75
In 0.2500 0.2500 0.2500  4 Ta 2.75, 4 Ir 2.75
In 0.2500 0.7500 0.7500  4 Ta 2.75, 4 Ir 2.75
In 0.7500 0.2500 0.7500  4 Ta 2.75, 4 Ir 2.75
In 0.7500 0.7500 0.2500  4 Ta 2.75, 4 Ir 2.75
Cu 0.2500 0.2500 0.7500  4 Ta 2.75, 4 Ir 2.75
Cu 0.2500 0.7500 0.2500  4 Ta 2.75, 4 Ir 2.75
Cu 0.7500 0.2500 0.2500  4 Ta 2.75, 4 Ir 2.75
Cu 0.7500 0.7500 0.7500  4 Ta 2.75, 4 Ir 2.75
Ir 0.0000 0.0000 0.5000  4 In 2.75, 4 Cu 2.75
Ir 0.0000 0.5000 0.0000  4 In 2.75, 4 Cu 2.75
Ir 0.5000 0.0000 0.0000  4 In 2.75, 4 Cu 2.75
Ir 0.5000 0.5000 0.5000  4 In 2.75, 4 Cu 2.75

Computed properties:
**Distance to the lowest polymorph of the same formula**: 0.389 eV per atom